Record 1
Here is an optimized crystal structure of ZnSbRhI2 from Alexandria via LeMat-Bulk. Energies are from PBE.

```
ZnSbRhI2
1.0
5.467 0.000 0.000
0.000 5.467 0.000
0.000 0.000 5.201
Zn Sb Rh I
1 1 1 2
direct
0.000 0.000 0.000
0.000 0.000 0.500
0.500 0.500 0.500
0.000 0.500 0.000
0.500 0.000 0.000
```

Values from the calculation:
The total magnetization comes out at 0.247 μB per atom. The value obtained for the uncorrected formation energy is 0.92 eV/atom. The energy above the most stable polymorph in this dataset comes out at 61.8 kJ/mol of atoms.

Record 2
Here is an optimized crystal structure of ZnSb2RhI from Alexandria via LeMat-Bulk. Energies are from PBE.

```
ZnSb2RhI
1.0
5.089 0.000 0.000
0.000 5.089 0.000
0.000 0.000 5.427
Zn Sb Rh I
1 2 1 1
direct
0.000 0.000 0.000
0.000 0.500 0.000
0.500 0.000 0.000
0.500 0.500 0.500
0.000 0.000 0.500
```

Values from the calculation:
The total magnetization comes out at 0.056 μB per atom. The value obtained for the uncorrected formation energy is 0.97 eV/atom. The energy above the most stable polymorph in this dataset comes out at 58.5 kJ/mol of atoms.

Question: total magnetization of number 1 (ZnSbRhI2)?
Answer: 0.247 μB per atom

Question: The highest total magnetization belongs to which entry?
Answer: ZnSbRhI2